First-principles (PBE) data for crystalline Be2VTc2 at its relaxed geometry, as listed in the Alexandria database.

The value obtained for the formation energy is -355 meV/atom. Its polymorph energy (0 for the lowest one) is 0.000 eV/atom. As for the space group: P4/mbm.

Unit cell a=6.0613 b=6.0613 c=3.0997 alpha=90.00 beta=90.00 gamma=90.00
Last column: nearest neighbours and their distance in Å.
Fractional coordinates of all 10 atoms:
Be1 0.1188 0.3812 0.0000  1 Be 2.04
Be2 0.3812 0.8812 0.0000  1 Be 2.04
Be3 0.6188 0.1188 0.0000  1 Be 2.04
Be4 0.8812 0.6188 0.0000  1 Be 2.04
V1 0.0000 0.0000 0.0000  4 Be 2.42
V2 0.5000 0.5000 0.0000  4 Be 2.42
Tc1 0.1779 0.6779 0.5000  6 Be 2.33-2.40
Tc2 0.3221 0.1779 0.5000  6 Be 2.33-2.40
Tc3 0.6779 0.8221 0.5000  6 Be 2.33-2.40
Tc4 0.8221 0.3221 0.5000  6 Be 2.33-2.40

First-principles (PBE) data for crystalline HRuSe at its relaxed geometry, as listed in the Alexandria database.

Its polymorph energy (0 for the lowest one) is 0.000 eV/atom. As for the space group: Fddd.

Unit cell a=12.1423 b=9.9462 c=8.0626 alpha=84.10 beta=54.57 gamma=41.34
Last column: nearest neighbours and their distance in Å.
Fractional coordinates of all 24 atoms:
H1 0.0806 0.7272 0.1667  1 H 1.38
H2 0.1667 0.5255 0.0806  1 H 1.38
H3 0.2728 0.9194 0.4745  1 H 1.38
H4 0.4745 0.8333 0.2728  1 H 1.38
H5 0.5255 0.1667 0.7272  1 H 1.38
H6 0.7272 0.0806 0.5255  1 H 1.38
H7 0.8333 0.4745 0.9194  1 H 1.38
H8 0.9194 0.2728 0.8333  1 H 1.38
Ru1 0.0282 0.0282 0.7218  2 H 1.65
Ru2 0.1250 0.1250 0.1250  4 Se 2.44
Ru3 0.2782 0.2782 0.9718  2 H 1.65
Ru4 0.3750 0.3750 0.3750  4 Se 2.34
Ru5 0.6250 0.6250 0.6250  4 Se 2.34
Ru6 0.7218 0.7218 0.0282  2 H 1.65
Ru7 0.8750 0.8750 0.8750  4 Se 2.44
Ru8 0.9718 0.9718 0.2782  2 H 1.65
Se1 0.1230 0.7702 0.4494  4 Ru 2.34-2.55
Se2 0.1573 0.4494 0.7702  4 Ru 2.34-2.55
Se3 0.2298 0.8770 0.8427  4 Ru 2.34-2.55
Se4 0.4494 0.1573 0.1230  4 Ru 2.34-2.55
Se5 0.5506 0.8427 0.8770  4 Ru 2.34-2.55
Se6 0.7702 0.1230 0.1573  4 Ru 2.34-2.55
Se7 0.8427 0.5506 0.2298  4 Ru 2.34-2.55
Se8 0.8770 0.2298 0.5506  4 Ru 2.34-2.55

Q: What is the polymorph energy (0 for the lowest one) in the second record?
A: 0.000 eV/atom

Q: Which formula does entry 1 have?
A: Be2VTc2

Q: polymorph energy (0 for the lowest one) of number 1 (Be2VTc2)?
A: 0.000 eV/atom